Material: Na4YHo3Se8
Method: DFT, PBE-GGA
State: optimized geometry

abc: 8.478 8.478 8.478
angles: 58.36 58.36 58.36
Fractional coordinates of all 16 atoms:
Na1 0.000 0.000 0.000
Na2 0.000 0.500 0.500
Na3 0.500 0.000 0.500
Na4 0.500 0.500 0.000
Y1 0.500 0.500 0.500
Ho1 0.000 0.000 0.500
Ho2 0.000 0.500 0.000
Ho3 0.500 0.000 0.000
Se1 0.242 0.744 0.744
Se2 0.243 0.243 0.243
Se3 0.256 0.256 0.758
Se4 0.256 0.758 0.256
Se5 0.744 0.242 0.744
Se6 0.744 0.744 0.242
Se7 0.757 0.757 0.757
Se8 0.758 0.256 0.256

Output
formation energy without anion corrections = -1709 meV/atom
uncorrected energy = -5.043 eV per atom

=====

Material: Li2VHPt
Method: DFT, PBE-GGA
State: optimized geometry

abc: 3.744 3.744 4.093
angles: 90.00 90.00 90.00
Fractional coordinates of all 5 atoms:
Li1 0.000 0.500 0.000
Li2 0.500 0.000 0.000
V1 0.000 0.000 0.500
H1 0.000 0.000 0.000
Pt1 0.500 0.500 0.500

Output
uncorrected energy = -4.687 eV per atom

=====

Q: What is the uncorrected energy in the first record?
A: -5.043 eV per atom

=====

Q: Number 1 is which compound?
A: Na4YHo3Se8